No. 1
The following is a PBEsol calculation of crystalline KNaCu2W at its relaxed geometry, from Alexandria via LeMat-Bulk.

Space-group type = P4/mmm, No. 123
Size of the total moment = 1.02 Bohr magnetons per cell
V = 127.7 Å³ per cell
Raw total energy = -18.2 eV/cell
Density of states at the Fermi level = 4.03 states/eV/cell

Unit cell a=4.7685 b=4.7685 c=5.6168 alpha=90.00 beta=90.00 gamma=90.00
Last column: nearest neighbours and their distance in Å.
Element x y z (fractional)
Na 0.0000 0.0000 0.5000  2 W 2.81
K 0.5000 0.5000 0.5000  4 Na 3.37, 8 Cu 3.68
Cu 0.0000 0.5000 0.0000  2 W 2.38
Cu 0.5000 0.0000 0.0000  2 W 2.38
W 0.0000 0.0000 0.0000  4 Cu 2.38

No. 2
The following is a PBEsol calculation of crystalline Sc2NiPd at its relaxed geometry, from Alexandria via LeMat-Bulk.

Space-group type = Fm-3m, No. 225
Size of the total moment = 0.00 Bohr magnetons per cell
V = 65.7 Å³ per cell
Raw total energy = -28.0 eV/cell
Density of states at the Fermi level = 2.51 states/eV/cell

Unit cell a=4.5285 b=4.5285 c=4.5285 alpha=60.00 beta=60.00 gamma=60.00
Last column: nearest neighbours and their distance in Å.
Element x y z (fractional)
Sc 0.2500 0.2500 0.2500  4 Ni 2.77, 4 Pd 2.77
Sc 0.7500 0.7500 0.7500  4 Pd 2.77, 4 Ni 2.77
Ni 0.0000 0.0000 0.0000  8 Sc 2.77
Pd 0.5000 0.5000 0.5000  8 Sc 2.77

No. 3
The following is a PBEsol calculation of crystalline SbOs2Se at its relaxed geometry, from Alexandria via LeMat-Bulk.

Space-group type = Cmm2, No. 35
Size of the total moment = 0.00 Bohr magnetons per cell
V = 72.5 Å³ per cell
Raw total energy = -29.8 eV/cell
Density of states at the Fermi level = 4.33 states/eV/cell
Formation energy (no corrections) = 3.01 eV/f.u.

Unit cell a=2.8773 b=2.9142 c=9.9412 alpha=90.00 beta=90.00 gamma=119.58
Last column: nearest neighbours and their distance in Å.
Element x y z (fractional)
Os 0.0000 0.0000 0.0104  2 Se 2.56, 2 Os 2.59
Os 0.5000 0.0000 0.2269  4 Os 2.59-2.88, 2 Sb 2.77
Sb 0.0000 0.0000 0.4652  2 Os 2.77, 6 Sb 2.88-2.91
Se 0.5000 0.0000 0.7975  2 Os 2.56

No. 4
The following is a PBEsol calculation of crystalline Co3TeRh at its relaxed geometry, from Alexandria via LeMat-Bulk.

Space-group type = Pm-3m, No. 221
Size of the total moment = 5.02 Bohr magnetons per cell
V = 89.7 Å³ per cell
Raw total energy = -27.2 eV/cell
Density of states at the Fermi level = 9.24 states/eV/cell
Formation energy (no corrections) = 7.65 eV/f.u.

Unit cell a=4.4760 b=4.4760 c=4.4760 alpha=90.00 beta=90.00 gamma=90.00
Last column: nearest neighbours and their distance in Å.
Element x y z (fractional)
Co 0.0000 0.5000 0.0000  2 Te 2.24
Co 0.0000 0.0000 0.5000  2 Te 2.24
Co 0.5000 0.0000 0.0000  2 Te 2.24
Te 0.0000 0.0000 0.0000  6 Co 2.24
Rh 0.5000 0.5000 0.5000  12 Co 3.16

No. 5
The following is a PBEsol calculation of crystalline LiAl2 at its relaxed geometry, from Alexandria via LeMat-Bulk.

Space-group type = Immm, No. 71
Size of the total moment = 0.00 Bohr magnetons per cell
V = 48.3 Å³ per cell
Raw total energy = -10.4 eV/cell
Density of states at the Fermi level = 1.05 states/eV/cell

Unit cell a=2.8459 b=4.0475 c=4.8650 alpha=114.58 beta=107.01 gamma=90.00
Last column: nearest neighbours and their distance in Å.
Element x y z (fractional)
Al 0.6701 0.6701 0.3403  5 Li 2.76-2.86, 7 Al 2.81-2.85
Al 0.3299 0.3299 0.6597  5 Li 2.76-2.86, 7 Al 2.81-2.85
Li 0.0000 0.0000 0.0000  10 Al 2.76-2.86, 2 Li 2.85

No. 6
The following is a PBEsol calculation of crystalline NbCuPbBr2 at its relaxed geometry, from Alexandria via LeMat-Bulk.

Space-group type = P4/mmm, No. 123
Size of the total moment = 4.08 Bohr magnetons per cell
V = 158.4 Å³ per cell
Raw total energy = -17.5 eV/cell
Density of states at the Fermi level = 6.62 states/eV/cell
Formation energy (no corrections) = 5.34 eV/f.u.

Unit cell a=4.8490 b=5.7149 c=5.7149 alpha=90.00 beta=90.00 gamma=90.00
Last column: nearest neighbours and their distance in Å.
Element x y z (fractional)
Pb 0.0000 0.0000 0.0000  2 Cu 2.42
Nb 0.5000 0.5000 0.5000  8 Br 3.75, 4 Cu 4.04
Cu 0.5000 0.0000 0.0000  2 Pb 2.42
Br 0.0000 0.0000 0.5000  2 Pb 2.86
Br 0.0000 0.5000 0.0000  2 Pb 2.86

Please write out number 2 again, unchanged.
The following is a PBEsol calculation of crystalline Sc2NiPd at its relaxed geometry, from Alexandria via LeMat-Bulk.

Space-group type = Fm-3m, No. 225
Size of the total moment = 0.00 Bohr magnetons per cell
V = 65.7 Å³ per cell
Raw total energy = -28.0 eV/cell
Density of states at the Fermi level = 2.51 states/eV/cell

Unit cell a=4.5285 b=4.5285 c=4.5285 alpha=60.00 beta=60.00 gamma=60.00
Last column: nearest neighbours and their distance in Å.
Element x y z (fractional)
Sc 0.2500 0.2500 0.2500  4 Ni 2.77, 4 Pd 2.77
Sc 0.7500 0.7500 0.7500  4 Pd 2.77, 4 Ni 2.77
Ni 0.0000 0.0000 0.0000  8 Sc 2.77
Pd 0.5000 0.5000 0.5000  8 Sc 2.77

> Which of these has the highest density of states at the Fermi level?

Co3TeRh